(1)
# PBE Y2InMoPt, relaxed
# Uncorrected energy (eV/atom): -5.997
# Fermi-level density of states (states/eV/f.u.): 4.85
# Formation energy from the elements (eV/atom): 0.510
data_Y2InMoPt
_cell_length_a 5.178
_cell_length_b 5.159
_cell_length_c 5.178
_cell_angle_alpha 90.00
_cell_angle_beta 90.00
_cell_angle_gamma 90.00
_symmetry_space_group_name_H-M 'P 1'
_symmetry_Int_Tables_number 1
loop_
_symmetry_equiv_pos_as_xyz
'x,y,z'
loop_
_atom_site_label
_atom_site_fract_x
_atom_site_fract_y
_atom_site_fract_z
Y1 0.000 0.000 0.500
In1 0.000 0.500 0.000
Mo1 0.000 0.000 0.000
Y2 0.500 0.000 0.000
Pt1 0.500 0.500 0.500



(2)
# PBE Sm4Cd5Ir2, relaxed
# Uncorrected energy (eV/atom): -4.203
# Fermi-level density of states (states/eV/f.u.): 6.29
# Formation energy from the elements (eV/atom): -0.460
data_Sm4Cd5Ir2
_cell_length_a 3.750
_cell_length_b 7.764
_cell_length_c 9.691
_cell_angle_alpha 94.34
_cell_angle_beta 90.00
_cell_angle_gamma 90.00
_symmetry_space_group_name_H-M 'P 1'
_symmetry_Int_Tables_number 1
loop_
_symmetry_equiv_pos_as_xyz
'x,y,z'
loop_
_atom_site_label
_atom_site_fract_x
_atom_site_fract_y
_atom_site_fract_z
Sm1 0.500 0.830 0.150
Sm2 0.500 0.783 0.554
Cd1 0.000 0.547 0.324
Ir1 0.000 0.926 0.357
Sm3 0.500 0.217 0.446
Cd2 0.000 0.500 0.000
Cd3 0.000 0.186 0.153
Cd4 0.000 0.453 0.676
Cd5 0.000 0.814 0.847
Sm4 0.500 0.170 0.850
Ir2 0.000 0.074 0.643



(3)
# PBE LiCa2Si3, relaxed
# Relative energy among the computed polymorphs (meV/atom): 0
# Uncorrected energy (eV/atom): -4.158
# Fermi-level density of states (states/eV/f.u.): 1.00
# ΔE_f (raw) (eV per atom): -0.4601
data_LiCa2Si3
_cell_length_a 4.373
_cell_length_b 10.516
_cell_length_c 11.233
_cell_angle_alpha 90.00
_cell_angle_beta 90.00
_cell_angle_gamma 90.00
_symmetry_space_group_name_H-M 'P 1'
_symmetry_Int_Tables_number 1
loop_
_symmetry_equiv_pos_as_xyz
'x,y,z'
loop_
_atom_site_label
_atom_site_fract_x
_atom_site_fract_y
_atom_site_fract_z
Ca1 0.500 0.449 0.651
Li1 0.500 0.138 0.718
Ca2 0.000 0.949 0.849
Si1 0.500 0.534 0.901
Ca3 0.500 0.822 0.574
Li2 0.500 0.862 0.282
Si2 0.500 0.108 0.960
Si3 0.000 0.034 0.599
Si4 0.000 0.256 0.634
Li3 0.000 0.638 0.782
Si5 0.500 0.892 0.040
Si6 0.000 0.392 0.460
Li4 0.000 0.362 0.218
Ca4 0.500 0.178 0.426
Ca5 0.500 0.551 0.349
Ca6 0.000 0.322 0.926
Ca7 0.000 0.051 0.151
Si7 0.500 0.244 0.134
Si8 0.500 0.466 0.099
Si9 0.000 0.608 0.540
Si10 0.000 0.966 0.401
Si11 0.000 0.744 0.366
Si12 0.500 0.756 0.866
Ca8 0.000 0.678 0.074



(4)
# PBE K3CaRe2O9, relaxed
# Uncorrected energy (eV/atom): -6.923
# Fermi-level density of states (states/eV/f.u.): 3.91
# ΔE_f (raw) (eV per atom): -1.9356
data_K3CaRe2O9
_cell_length_a 5.777
_cell_length_b 5.777
_cell_length_c 7.233
_cell_angle_alpha 90.00
_cell_angle_beta 90.00
_cell_angle_gamma 120.00
_symmetry_space_group_name_H-M 'P 1'
_symmetry_Int_Tables_number 1
loop_
_symmetry_equiv_pos_as_xyz
'x,y,z'
loop_
_atom_site_label
_atom_site_fract_x
_atom_site_fract_y
_atom_site_fract_z
K1 0.000 0.000 0.000
O1 0.500 0.500 0.000
O2 0.820 0.640 0.698
O3 0.180 0.360 0.302
O4 0.820 0.180 0.698
K2 0.667 0.333 0.328
O5 0.640 0.820 0.302
K3 0.333 0.667 0.672
Re1 0.333 0.667 0.162
O6 0.000 0.500 0.000
Ca1 0.000 0.000 0.500
O7 0.500 0.000 0.000
O8 0.360 0.180 0.698
O9 0.180 0.820 0.302
Re2 0.667 0.333 0.838



(5)
# PBE ZrNi4Pb, relaxed
# Uncorrected energy (eV/atom): -6.104
# Fermi-level density of states (states/eV/f.u.): 6.62
# Formation energy from the elements (eV/atom): -0.207
data_ZrNi4Pb
_cell_length_a 4.960
_cell_length_b 4.960
_cell_length_c 4.960
_cell_angle_alpha 60.00
_cell_angle_beta 60.00
_cell_angle_gamma 60.00
_symmetry_space_group_name_H-M 'P 1'
_symmetry_Int_Tables_number 1
loop_
_symmetry_equiv_pos_as_xyz
'x,y,z'
loop_
_atom_site_label
_atom_site_fract_x
_atom_site_fract_y
_atom_site_fract_z
Pb1 0.750 0.750 0.750
Zr1 0.000 0.000 0.000
Ni1 0.878 0.374 0.374
Ni2 0.374 0.878 0.374
Ni3 0.374 0.374 0.878
Ni4 0.374 0.374 0.374



(6)
# PBE Cd4PSeBr2, relaxed
# Uncorrected energy (eV/atom): -2.357
# Fermi-level density of states (states/eV/f.u.): 1.72
# ΔE_f (raw) (eV per atom): -0.3691
data_Cd4PSeBr2
_cell_length_a 8.299
_cell_length_b 8.299
_cell_length_c 8.309
_cell_angle_alpha 120.01
_cell_angle_beta 120.01
_cell_angle_gamma 90.11
_symmetry_space_group_name_H-M 'P 1'
_symmetry_Int_Tables_number 1
loop_
_symmetry_equiv_pos_as_xyz
'x,y,z'
loop_
_atom_site_label
_atom_site_fract_x
_atom_site_fract_y
_atom_site_fract_z
Cd1 0.792 0.248 0.020
Cd2 0.748 0.292 0.520
Cd3 0.241 0.259 0.460
Cd4 0.759 0.741 0.960
Cd5 0.252 0.708 0.480
Br1 0.000 0.000 0.500
P1 0.000 0.000 0.000
P2 0.500 0.500 0.500
Br2 0.500 0.500 0.000
Br3 0.500 0.000 0.500
Se1 0.000 0.500 0.000
Cd6 0.241 0.259 0.040
Br4 0.500 0.000 0.000
Cd7 0.208 0.752 0.980
Se2 0.000 0.500 0.500
Cd8 0.759 0.741 0.540



(7)
# PBE KSbI2O, relaxed
# Relative energy among the computed polymorphs (meV/atom): 0
# Uncorrected energy (eV/atom): -3.543
# Fermi-level density of states (states/eV/f.u.): 0.58
# ΔE_f (raw) (eV per atom): -0.8873
data_KSbI2O
_cell_length_a 6.309
_cell_length_b 6.309
_cell_length_c 4.184
_cell_angle_alpha 90.00
_cell_angle_beta 90.00
_cell_angle_gamma 90.00
_symmetry_space_group_name_H-M 'P 1'
_symmetry_Int_Tables_number 1
loop_
_symmetry_equiv_pos_as_xyz
'x,y,z'
loop_
_atom_site_label
_atom_site_fract_x
_atom_site_fract_y
_atom_site_fract_z
O1 0.000 0.000 0.500
K1 0.500 0.500 0.500
I1 0.500 0.000 0.000
I2 0.000 0.500 0.000
Sb1 0.000 0.000 0.000



(8)
# PBE Nd6YHo4, relaxed
# Relative energy among the computed polymorphs (meV/atom): 0
# Uncorrected energy (eV/atom): -4.565
# Fermi-level density of states (states/eV/f.u.): 16.35
# Formation energy from the elements (eV/atom): 0.288
data_Nd6YHo4
_cell_length_a 9.960
_cell_length_b 9.960
_cell_length_c 9.960
_cell_angle_alpha 55.73
_cell_angle_beta 141.40
_cell_angle_gamma 141.40
_symmetry_space_group_name_H-M 'P 1'
_symmetry_Int_Tables_number 1
loop_
_symmetry_equiv_pos_as_xyz
'x,y,z'
loop_
_atom_site_label
_atom_site_fract_x
_atom_site_fract_y
_atom_site_fract_z
Ho1 0.631 0.990 0.990
Nd1 0.000 0.458 0.815
Nd2 0.643 0.185 0.185
Nd3 0.000 0.815 0.458
Ho2 0.369 0.359 0.359
Ho3 0.000 0.641 0.010
Nd4 0.357 0.542 0.542
Y1 0.000 0.000 0.000
Nd5 0.500 0.500 0.000
Nd6 0.500 0.000 0.500
Ho4 0.000 0.010 0.641



(9)
# PBE Pr2ZnAg2Pd5, relaxed
# Uncorrected energy (eV/atom): -4.687
# Fermi-level density of states (states/eV/f.u.): 4.75
# Formation energy from the elements (eV/atom): -0.437
data_Pr2ZnAg2Pd5
_cell_length_a 3.966
_cell_length_b 9.916
_cell_length_c 9.916
_cell_angle_alpha 90.00
_cell_angle_beta 90.00
_cell_angle_gamma 90.00
_symmetry_space_group_name_H-M 'P 1'
_symmetry_Int_Tables_number 1
loop_
_symmetry_equiv_pos_as_xyz
'x,y,z'
loop_
_atom_site_label
_atom_site_fract_x
_atom_site_fract_y
_atom_site_fract_z
Pd1 0.500 0.551 0.694
Pd2 0.500 0.306 0.551
Pr1 0.000 0.173 0.327
Zn1 0.000 0.500 0.500
Pd3 0.500 0.194 0.051
Ag1 0.000 0.373 0.127
Pr2 0.000 0.827 0.673
Pr3 0.000 0.673 0.173
Pd4 0.500 0.000 0.500
Pr4 0.000 0.327 0.827
Ag2 0.000 0.873 0.373
Pd5 0.500 0.051 0.806
Pd6 0.500 0.449 0.306
Ag3 0.000 0.127 0.627
Pd7 0.500 0.806 0.949
Pd8 0.500 0.500 0.000
Zn2 0.000 0.000 0.000
Pd9 0.500 0.694 0.449
Ag4 0.000 0.627 0.873
Pd10 0.500 0.949 0.194



(10)
# PBE Na6Pd7, relaxed
# Uncorrected energy (eV/atom): -3.550
# Fermi-level density of states (states/eV/f.u.): 8.79
# Formation energy from the elements (eV/atom): -0.145
data_Na6Pd7
_cell_length_a 5.484
_cell_length_b 5.484
_cell_length_c 10.221
_cell_angle_alpha 74.44
_cell_angle_beta 74.44
_cell_angle_gamma 60.00
_symmetry_space_group_name_H-M 'P 1'
_symmetry_Int_Tables_number 1
loop_
_symmetry_equiv_pos_as_xyz
'x,y,z'
loop_
_atom_site_label
_atom_site_fract_x
_atom_site_fract_y
_atom_site_fract_z
Na1 0.835 0.835 0.496
Pd1 0.413 0.908 0.771
Na2 0.554 0.554 0.337
Pd2 0.587 0.092 0.229
Pd3 0.908 0.908 0.771
Na3 0.654 0.654 0.039
Pd4 0.908 0.413 0.771
Pd5 0.000 0.000 0.000
Na4 0.165 0.165 0.504
Na5 0.446 0.446 0.663
Pd6 0.092 0.587 0.229
Na6 0.346 0.346 0.961
Pd7 0.092 0.092 0.229



(11)
# PBE SiTcOs, relaxed
# Relative energy among the computed polymorphs (meV/atom): 351
# Uncorrected energy (eV/atom): -8.925
# Fermi-level density of states (states/eV/f.u.): 2.28
# ΔE_f (raw) (eV per atom): 0.0817
data_SiTcOs
_cell_length_a 4.197
_cell_length_b 5.656
_cell_length_c 7.723
_cell_angle_alpha 90.00
_cell_angle_beta 90.00
_cell_angle_gamma 90.00
_symmetry_space_group_name_H-M 'P 1'
_symmetry_Int_Tables_number 1
loop_
_symmetry_equiv_pos_as_xyz
'x,y,z'
loop_
_atom_site_label
_atom_site_fract_x
_atom_site_fract_y
_atom_site_fract_z
Os1 0.750 0.517 0.139
Si1 0.750 0.814 0.356
Si2 0.250 0.186 0.644
Tc1 0.750 0.045 0.079
Os2 0.250 0.483 0.861
Si3 0.750 0.686 0.856
Os3 0.250 0.017 0.361
Tc2 0.750 0.455 0.579
Tc3 0.250 0.545 0.421
Os4 0.750 0.983 0.639
Tc4 0.250 0.955 0.921
Si4 0.250 0.314 0.144



(12)
# PBE Ca2AgBr, relaxed
# Relative energy among the computed polymorphs (meV/atom): 2
# Uncorrected energy (eV/atom): -2.946
# Fermi-level density of states (states/eV/f.u.): 2.12
# ΔE_f (raw) (eV per atom): -0.8143
data_Ca2AgBr
_cell_length_a 4.139
_cell_length_b 4.139
_cell_length_c 8.418
_cell_angle_alpha 75.66
_cell_angle_beta 75.66
_cell_angle_gamma 59.88
_symmetry_space_group_name_H-M 'P 1'
_symmetry_Int_Tables_number 1
loop_
_symmetry_equiv_pos_as_xyz
'x,y,z'
loop_
_atom_site_label
_atom_site_fract_x
_atom_site_fract_y
_atom_site_fract_z
Br1 0.250 0.250 0.250
Ag1 0.750 0.750 0.750
Ca1 0.007 0.007 0.978
Ca2 0.493 0.493 0.522